First-principles (GGA-PBE) data for a geometry-optimized Li2CuIr structure, as listed in Alexandria.

```
data_Li2CuIr
_symmetry_space_group_name_H-M 'P 1'
_symmetry_Int_Tables_number 1
_cell_length_a 3.5904
_cell_length_b 3.5904
_cell_length_c 3.9942
_cell_angle_alpha 90.00
_cell_angle_beta 90.00
_cell_angle_gamma 90.00
loop_
_symmetry_equiv_pos_as_xyz
'x,y,z'
loop_
_atom_site_label
_atom_site_type_symbol
_atom_site_fract_x
_atom_site_fract_y
_atom_site_fract_z
Li1 Li 0.0000 0.5000 0.0000
Li2 Li 0.5000 0.0000 0.0000
Cu1 Cu 0.0000 0.0000 0.5000
Ir1 Ir 0.5000 0.5000 0.5000
```

Summary:
Crystal system ... tetragonal
Size of the total moment ... 0.00 μB per atom
Space-group type ... P4/mmm
E_tot ... -4.233 eV/atom
Formation enthalpy at 0 K ... -0.037 eV per atom

First-principles (GGA-PBE) data for a geometry-optimized Li2CuIr structure, as listed in Alexandria.

```
data_Li2CuIr
_symmetry_space_group_name_H-M 'P 1'
_symmetry_Int_Tables_number 1
_cell_length_a 2.7982
_cell_length_b 4.2885
_cell_length_c 4.3110
_cell_angle_alpha 90.00
_cell_angle_beta 90.00
_cell_angle_gamma 90.00
loop_
_symmetry_equiv_pos_as_xyz
'x,y,z'
loop_
_atom_site_label
_atom_site_type_symbol
_atom_site_fract_x
_atom_site_fract_y
_atom_site_fract_z
Li1 Li 0.0000 0.0000 0.0000
Li2 Li 0.5000 0.0000 0.5000
Cu1 Cu 0.0000 0.5000 0.5000
Ir1 Ir 0.5000 0.5000 0.0000
```

Summary:
Crystal system ... orthorhombic
Size of the total moment ... 0.01 μB per atom
Space-group type ... Pmmm
E_tot ... -4.296 eV/atom
Formation enthalpy at 0 K ... -0.100 eV per atom